Mo3HCl PBE optimized geometry; mass density = 8.0 Mg/m³; excess energy over the best structure of this formula in the dataset = 0 meV per atom; raw total energy = -6.587 eV per atom
1.0
4.069 0.000 0.000
0.000 4.069 0.000
0.000 0.000 4.069
Mo H Cl
3 1 1
direct
0.000 0.000 0.500
0.000 0.500 0.000
0.500 0.000 0.000
0.000 0.000 0.000
0.500 0.500 0.500